# KCaBe2F8 (PBE, relaxed)
data_KCaBe2F8
_space_group_name_H-M_alt 'R -3'
_space_group_IT_number 148
_space_group_name_Hall '-R 3'
_cell_length_a 5.1729
_cell_length_b 5.1729
_cell_length_c 21.9207
_cell_angle_alpha 90.00
_cell_angle_beta 90.00
_cell_angle_gamma 120.00
loop_
_atom_site_label
_atom_site_fract_x
_atom_site_fract_y
_atom_site_fract_z
K1 0.0000 0.0000 0.0000
Ca1 0.0000 0.0000 0.5000
Be1 0.0000 0.0000 0.2488
F1 0.0000 0.0000 0.3203
F2 0.0017 0.7148 0.7727
# - M_tot: 3.3 μB/cell
# - Raw formation energy: -3.069 eV per atom

***

# TlCu2Ru (PBE, relaxed)
data_TlCu2Ru
_space_group_name_H-M_alt 'C 1 2/m 1'
_space_group_IT_number 12
_cell_length_a 9.0351
_cell_length_b 3.0456
_cell_length_c 4.6973
_cell_angle_alpha 90.00
_cell_angle_beta 102.17
_cell_angle_gamma 90.00
loop_
_space_group_symop_operation_xyz
'x,y,z'
'-x,-y,-z'
'-x,y,-z'
'x,-y,z'
'x+1/2,y+1/2,z'
'-x+1/2,-y+1/2,-z'
'-x+1/2,y+1/2,-z'
'x+1/2,-y+1/2,z'
loop_
_atom_site_label
_atom_site_fract_x
_atom_site_fract_y
_atom_site_fract_z
Tl1 0.0000 0.0000 0.0000
Cu1 0.2394 0.0000 0.7093
Ru1 0.0000 0.5000 0.5000
# - Energy relative to the elements: 0.4248 eV per atom
# - Energy relative to the lowest polymorph listed for this composition: 82.0 meV per atom
# - M_tot: 0.1 μB/cell

***

# NaHfIn (PBE, relaxed)
data_NaHfIn
_space_group_name_H-M_alt 'P 4/n m m'
_space_group_IT_number 129
_cell_length_a 3.1531
_cell_length_b 3.1531
_cell_length_c 15.1861
_cell_angle_alpha 90.00
_cell_angle_beta 90.00
_cell_angle_gamma 90.00
loop_
_space_group_symop_operation_xyz
'x,y,z'
'-x,-y,-z'
'-y+1/2,x,z'
'y+1/2,-x,-z'
'-x+1/2,-y+1/2,z'
'x+1/2,y+1/2,-z'
'y,-x+1/2,z'
'-y,x+1/2,-z'
'x+1/2,-y,-z'
'-x+1/2,y,z'
'-y,-x,-z'
'y,x,z'
'-x,y+1/2,-z'
'x,-y+1/2,z'
'y+1/2,x+1/2,-z'
'-y+1/2,-x+1/2,z'
loop_
_atom_site_label
_atom_site_fract_x
_atom_site_fract_y
_atom_site_fract_z
Na1 0.2500 0.2500 0.1077
Hf1 0.2500 0.2500 0.4301
In1 0.2500 0.2500 0.7277
# - Energy relative to the elements: -0.0918 eV per atom
# - Energy relative to the lowest polymorph listed for this composition: 0.0 meV per atom
# - M_tot: 0.0 μB/cell

***

# Ac2La2Os (PBE, relaxed)
data_Ac2La2Os
_space_group_name_H-M_alt 'I 41/a m d'
_space_group_IT_number 141
_cell_length_a 5.1205
_cell_length_b 5.1205
_cell_length_c 27.5059
_cell_angle_alpha 90.00
_cell_angle_beta 90.00
_cell_angle_gamma 90.00
loop_
_space_group_symop_operation_xyz
'x,y,z'
'-x,-y,-z'
'-y+1/4,x+3/4,z+1/4'
'y+1/4,-x+3/4,-z+1/4'
'-x+1/2,-y,z+1/2'
'x+1/2,y,-z+1/2'
'y+1/4,-x+1/4,z+3/4'
'-y+1/4,x+1/4,-z+3/4'
'x,-y,-z'
'-x,y,z'
'-y+1/4,-x+1/4,-z+3/4'
'y+1/4,x+1/4,z+3/4'
'-x+1/2,y,-z+1/2'
'x+1/2,-y,z+1/2'
'y+1/4,x+3/4,-z+1/4'
'-y+1/4,-x+3/4,z+1/4'
'x+1/2,y+1/2,z+1/2'
'-x+1/2,-y+1/2,-z+1/2'
'-y+3/4,x+1/4,z+3/4'
'y+3/4,-x+1/4,-z+3/4'
'-x,-y+1/2,z'
'x,y+1/2,-z'
'y+3/4,-x+3/4,z+1/4'
'-y+3/4,x+3/4,-z+1/4'
'x+1/2,-y+1/2,-z+1/2'
'-x+1/2,y+1/2,z+1/2'
'-y+3/4,-x+3/4,-z+1/4'
'y+3/4,x+3/4,z+1/4'
'-x,y+1/2,-z'
'x,-y+1/2,z'
'y+3/4,x+1/4,-z+3/4'
'-y+3/4,-x+1/4,z+3/4'
loop_
_atom_site_label
_atom_site_fract_x
_atom_site_fract_y
_atom_site_fract_z
Ac1 0.0000 0.2500 0.0548
La1 0.0000 0.2500 0.1812
Os1 0.0000 0.2500 0.3750
# - Energy relative to the elements: 0.0496 eV per atom
# - M_tot: 0.0 μB/cell

***

Question: Among the records above, which one has the highest M_tot?
Answer: KCaBe2F8

***

Question: M_tot of number 2 (TlCu2Ru)?
Answer: 0.1 μB/cell

***

Question: The highest M_tot belongs to which entry?
Answer: KCaBe2F8